The following is a PBE calculation of a geometry-optimized Sm2Al2GeRh5 structure, from Alexandria via LeMat-Bulk.

Lattice parameters (Å, degrees): 3.467 9.935 9.935 90.00 90.00 90.00
Atoms (fractional coordinates):
Sm: 0.000 0.675 0.175
Sm: 0.000 0.325 0.825
Sm: 0.000 0.175 0.325
Sm: 0.000 0.825 0.675
Al: 0.000 0.123 0.623
Al: 0.000 0.877 0.377
Al: 0.000 0.623 0.877
Al: 0.000 0.377 0.123
Ge: 0.000 0.000 0.000
Ge: 0.000 0.500 0.500
Rh: 0.500 0.203 0.065
Rh: 0.500 0.797 0.935
Rh: 0.500 0.065 0.797
Rh: 0.500 0.703 0.435
Rh: 0.500 0.935 0.203
Rh: 0.500 0.297 0.565
Rh: 0.500 0.565 0.703
Rh: 0.500 0.435 0.297
Rh: 0.500 0.500 0.000
Rh: 0.500 0.000 0.500

Values from the calculation:
ρ   9.141 g cm⁻³
Crystal system   tetragonal
Formation energy from the elements   -0.78 eV/atom
Total magnetization   0.0 Bohr magnetons per cell

=====

The following is a PBE calculation of a geometry-optimized Al2Sn2GeRh5 structure, from Alexandria via LeMat-Bulk.

Lattice parameters (Å, degrees): 2.959 10.496 10.496 90.00 90.00 90.00
Atoms (fractional coordinates):
Al: 0.000 0.144 0.644
Al: 0.000 0.856 0.356
Al: 0.000 0.644 0.856
Al: 0.000 0.356 0.144
Sn: 0.000 0.654 0.154
Sn: 0.000 0.346 0.846
Sn: 0.000 0.154 0.346
Sn: 0.000 0.846 0.654
Ge: 0.000 0.000 0.000
Ge: 0.000 0.500 0.500
Rh: 0.500 0.158 0.129
Rh: 0.500 0.842 0.871
Rh: 0.500 0.129 0.842
Rh: 0.500 0.658 0.371
Rh: 0.500 0.871 0.158
Rh: 0.500 0.342 0.629
Rh: 0.500 0.629 0.658
Rh: 0.500 0.371 0.342
Rh: 0.500 0.500 0.000
Rh: 0.500 0.000 0.500

Values from the calculation:
ρ   8.950 g cm⁻³
Crystal system   tetragonal
Formation energy from the elements   -0.52 eV/atom
Total magnetization   0.0 Bohr magnetons per cell

=====

The following is a PBE calculation of a geometry-optimized Tb2AlGe2Rh5 structure, from Alexandria via LeMat-Bulk.

Lattice parameters (Å, degrees): 3.536 9.796 9.796 90.00 90.00 90.00
Atoms (fractional coordinates):
Tb: 0.000 0.674 0.174
Tb: 0.000 0.326 0.826
Tb: 0.000 0.174 0.326
Tb: 0.000 0.826 0.674
Al: 0.000 0.000 0.000
Al: 0.000 0.500 0.500
Ge: 0.000 0.125 0.625
Ge: 0.000 0.875 0.375
Ge: 0.000 0.625 0.875
Ge: 0.000 0.375 0.125
Rh: 0.500 0.205 0.066
Rh: 0.500 0.795 0.934
Rh: 0.500 0.066 0.795
Rh: 0.500 0.705 0.434
Rh: 0.500 0.934 0.205
Rh: 0.500 0.295 0.566
Rh: 0.500 0.566 0.705
Rh: 0.500 0.434 0.295
Rh: 0.500 0.500 0.000
Rh: 0.500 0.000 0.500

Values from the calculation:
ρ   9.833 g cm⁻³
Crystal system   tetragonal
Formation energy from the elements   -0.84 eV/atom
Total magnetization   0.0 Bohr magnetons per cell

=====

The following is a PBE calculation of a geometry-optimized Tb2AlGe3Rh4 structure, from Alexandria via LeMat-Bulk.

Lattice parameters (Å, degrees): 4.167 4.167 10.299 90.00 90.00 90.00
Atoms (fractional coordinates):
Tb: 0.500 0.000 0.249
Tb: 0.000 0.500 0.751
Al: 0.500 0.500 0.500
Ge: 0.000 0.000 0.500
Ge: 0.500 0.000 0.869
Ge: 0.000 0.500 0.131
Rh: 0.500 0.500 0.000
Rh: 0.000 0.000 0.000
Rh: 0.500 0.000 0.633
Rh: 0.000 0.500 0.367

Values from the calculation:
ρ   9.049 g cm⁻³
Crystal system   tetragonal
Formation energy from the elements   -0.90 eV/atom
Total magnetization   0.0 Bohr magnetons per cell

=====

The following is a PBE calculation of a geometry-optimized AlTcGeRh structure, from Alexandria via LeMat-Bulk.

Lattice parameters (Å, degrees): 4.293 4.293 4.293 60.00 60.00 60.00
Atoms (fractional coordinates):
Ge: 0.750 0.750 0.750
Rh: 0.500 0.500 0.500
Tc: 0.000 0.000 0.000
Al: 0.250 0.250 0.250

Values from the calculation:
ρ   8.919 g cm⁻³
Crystal system   cubic
Formation energy from the elements   -0.49 eV/atom
Total magnetization   0.0 Bohr magnetons per cell

=====

The following is a PBE calculation of a geometry-optimized Th2AlGe3Rh4 structure, from Alexandria via LeMat-Bulk.

Lattice parameters (Å, degrees): 4.218 4.218 10.384 90.00 90.00 90.00
Atoms (fractional coordinates):
Th: 0.500 0.000 0.253
Th: 0.000 0.500 0.747
Al: 0.500 0.500 0.500
Ge: 0.000 0.000 0.500
Ge: 0.500 0.000 0.870
Ge: 0.000 0.500 0.130
Rh: 0.500 0.500 0.000
Rh: 0.000 0.000 0.000
Rh: 0.500 0.000 0.634
Rh: 0.000 0.500 0.366

Values from the calculation:
ρ   10.071 g cm⁻³
Crystal system   tetragonal
Formation energy from the elements   -0.92 eV/atom
Total magnetization   0.0 Bohr magnetons per cell

=====

The following is a PBE calculation of a geometry-optimized Tm2Al2GeRh5 structure, from Alexandria via LeMat-Bulk.

Lattice parameters (Å, degrees): 3.429 9.782 9.782 90.00 90.00 90.00
Atoms (fractional coordinates):
Tm: 0.000 0.673 0.173
Tm: 0.000 0.327 0.827
Tm: 0.000 0.173 0.327
Tm: 0.000 0.827 0.673
Al: 0.000 0.125 0.625
Al: 0.000 0.875 0.375
Al: 0.000 0.625 0.875
Al: 0.000 0.375 0.125
Ge: 0.000 0.000 0.000
Ge: 0.000 0.500 0.500
Rh: 0.500 0.201 0.068
Rh: 0.500 0.799 0.932
Rh: 0.500 0.068 0.799
Rh: 0.500 0.701 0.432
Rh: 0.500 0.932 0.201
Rh: 0.500 0.299 0.568
Rh: 0.500 0.568 0.701
Rh: 0.500 0.432 0.299
Rh: 0.500 0.500 0.000
Rh: 0.500 0.000 0.500

Values from the calculation:
ρ   9.910 g cm⁻³
Crystal system   tetragonal
Formation energy from the elements   -0.87 eV/atom
Total magnetization   0.0 Bohr magnetons per cell

=====

The following is a PBE calculation of a geometry-optimized AlGeRh2W structure, from Alexandria via LeMat-Bulk.

Lattice parameters (Å, degrees): 4.353 4.663 4.353 90.00 90.00 90.00
Each line ends with the local moment (μB).
Atoms (fractional coordinates):
Ge: 0.000 0.500 0.000  -0.06
Rh: 0.000 0.000 0.500  -0.04
Rh: 0.500 0.000 0.000  0.04
Al: 0.000 0.000 0.000  -0.01
W: 0.500 0.500 0.500  1.50

Values from the calculation:
ρ   9.195 g cm⁻³
Crystal system   tetragonal
Formation energy from the elements   1.11 eV/atom
Total magnetization   1.7 Bohr magnetons per cell